(1)
# PuTl2In PBE optimized geometry
# * crystal system: cubic
# * SG: No. 225
# * energy of formation from the pure elements: 0.014 eV/atom
data_PuTl2In
_cell_length_a 5.385
_cell_length_b 5.385
_cell_length_c 5.385
_cell_angle_alpha 60.00
_cell_angle_beta 60.00
_cell_angle_gamma 60.00
_symmetry_space_group_name_H-M 'P 1'
_symmetry_Int_Tables_number 1
loop_
_symmetry_equiv_pos_as_xyz
'x,y,z'
loop_
_atom_site_label
_atom_site_type_symbol
_atom_site_fract_x
_atom_site_fract_y
_atom_site_fract_z
Pu1 Pu 0.000 0.000 0.000
Tl1 Tl 0.250 0.250 0.250
Tl2 Tl 0.750 0.750 0.750
In1 In 0.500 0.500 0.500

(2)
# Ba3SeI2 PBE optimized geometry
# * crystal system: monoclinic
# * E_form (uncorrected): -1564 meV/atom
# * SG: No. 12
data_Ba3SeI2
_cell_length_a 8.351
_cell_length_b 8.351
_cell_length_c 8.693
_cell_angle_alpha 99.21
_cell_angle_beta 99.21
_cell_angle_gamma 119.89
_symmetry_space_group_name_H-M 'P 1'
_symmetry_Int_Tables_number 1
loop_
_symmetry_equiv_pos_as_xyz
'x,y,z'
loop_
_atom_site_label
_atom_site_type_symbol
_atom_site_fract_x
_atom_site_fract_y
_atom_site_fract_z
Ba1 Ba 0.075 0.426 0.780
Ba2 Ba 0.219 0.219 0.215
Ba3 Ba 0.426 0.075 0.780
Ba4 Ba 0.574 0.925 0.220
Ba5 Ba 0.781 0.781 0.785
Ba6 Ba 0.925 0.574 0.220
Se1 Se 0.168 0.832 0.000
Se2 Se 0.832 0.168 0.000
I1 I 0.000 0.000 0.500
I2 I 0.340 0.660 0.500
I3 I 0.500 0.500 0.000
I4 I 0.660 0.340 0.500

(3)
# CoICl2 PBE optimized geometry
# * crystal system: tetragonal
# * E_form (uncorrected): 26 meV/atom
# * SG: No. 122
data_CoICl2
_cell_length_a 6.814
_cell_length_b 6.814
_cell_length_c 6.814
_cell_angle_alpha 119.97
_cell_angle_beta 119.97
_cell_angle_gamma 90.06
_symmetry_space_group_name_H-M 'P 1'
_symmetry_Int_Tables_number 1
loop_
_symmetry_equiv_pos_as_xyz
'x,y,z'
loop_
_atom_site_label
_atom_site_type_symbol
_atom_site_fract_x
_atom_site_fract_y
_atom_site_fract_z
Co1 Co 0.000 0.000 0.000
Co2 Co 0.750 0.250 0.500
I1 I 0.250 0.750 0.500
I2 I 0.500 0.500 0.000
Cl1 Cl 0.375 0.202 0.327
Cl2 Cl 0.798 0.125 0.173
Cl3 Cl 0.875 0.048 0.673
Cl4 Cl 0.952 0.625 0.827

(4)
# SiSbCl PBE optimized geometry
# * crystal system: cubic
# * E_form (uncorrected): 160 meV/atom
# * SG: No. 216
data_SiSbCl
_cell_length_a 4.676
_cell_length_b 4.676
_cell_length_c 4.676
_cell_angle_alpha 60.00
_cell_angle_beta 60.00
_cell_angle_gamma 60.00
_symmetry_space_group_name_H-M 'P 1'
_symmetry_Int_Tables_number 1
loop_
_symmetry_equiv_pos_as_xyz
'x,y,z'
loop_
_atom_site_label
_atom_site_type_symbol
_atom_site_fract_x
_atom_site_fract_y
_atom_site_fract_z
Si1 Si 0.000 0.000 0.000
Sb1 Sb 0.250 0.250 0.250
Cl1 Cl 0.750 0.750 0.750

(5)
# CsCl8 PBE optimized geometry
# * crystal system: monoclinic
# * E_form (uncorrected): -384 meV/atom
# * SG: No. 12
data_CsCl8
_cell_length_a 7.086
_cell_length_b 7.086
_cell_length_c 7.838
_cell_angle_alpha 114.41
_cell_angle_beta 114.41
_cell_angle_gamma 61.21
_symmetry_space_group_name_H-M 'P 1'
_symmetry_Int_Tables_number 1
loop_
_symmetry_equiv_pos_as_xyz
'x,y,z'
loop_
_atom_site_label
_atom_site_type_symbol
_atom_site_fract_x
_atom_site_fract_y
_atom_site_fract_z
Cs1 Cs 0.000 0.000 0.000
Cl1 Cl 0.096 0.096 0.546
Cl2 Cl 0.332 0.332 0.112
Cl3 Cl 0.342 0.342 0.399
Cl4 Cl 0.353 0.353 0.705
Cl5 Cl 0.647 0.647 0.295
Cl6 Cl 0.658 0.658 0.601
Cl7 Cl 0.668 0.668 0.888
Cl8 Cl 0.904 0.904 0.454

(6)
# PrSmEu2 PBE optimized geometry
# * crystal system: tetragonal
# * SG: No. 123
# * energy of formation from the pure elements: 0.133 eV/atom
data_PrSmEu2
_cell_length_a 6.048
_cell_length_b 6.048
_cell_length_c 4.108
_cell_angle_alpha 90.00
_cell_angle_beta 90.00
_cell_angle_gamma 90.00
_symmetry_space_group_name_H-M 'P 1'
_symmetry_Int_Tables_number 1
loop_
_symmetry_equiv_pos_as_xyz
'x,y,z'
loop_
_atom_site_label
_atom_site_type_symbol
_atom_site_fract_x
_atom_site_fract_y
_atom_site_fract_z
Pr1 Pr 0.000 0.000 0.000
Sm1 Sm 0.500 0.500 0.000
Eu1 Eu 0.000 0.500 0.500
Eu2 Eu 0.500 0.000 0.500

(7)
# KPrSnCl6 PBE optimized geometry
# * crystal system: tetragonal
# * E_form (uncorrected): -1781 meV/atom
# * SG: No. 102
data_KPrSnCl6
_cell_length_a 6.847
_cell_length_b 6.847
_cell_length_c 13.281
_cell_angle_alpha 90.00
_cell_angle_beta 90.00
_cell_angle_gamma 90.00
_symmetry_space_group_name_H-M 'P 1'
_symmetry_Int_Tables_number 1
loop_
_symmetry_equiv_pos_as_xyz
'x,y,z'
loop_
_atom_site_label
_atom_site_type_symbol
_atom_site_fract_x
_atom_site_fract_y
_atom_site_fract_z
K1 K 0.000 0.000 0.000
K2 K 0.500 0.500 0.500
Pr1 Pr 0.000 0.000 0.334
Pr2 Pr 0.500 0.500 0.834
Sn1 Sn 0.000 0.000 0.668
Sn2 Sn 0.500 0.500 0.168
Cl1 Cl 0.180 0.180 0.498
Cl2 Cl 0.203 0.203 0.186
Cl3 Cl 0.213 0.213 0.822
Cl4 Cl 0.287 0.713 0.322
Cl5 Cl 0.297 0.703 0.686
Cl6 Cl 0.320 0.680 0.998
Cl7 Cl 0.680 0.320 0.998
Cl8 Cl 0.703 0.297 0.686
Cl9 Cl 0.713 0.287 0.322
Cl10 Cl 0.787 0.787 0.822
Cl11 Cl 0.797 0.797 0.186
Cl12 Cl 0.820 0.820 0.498

(8)
# La2MgZr PBE optimized geometry
# * crystal system: tetragonal
# * SG: No. 123
# * energy of formation from the pure elements: 0.049 eV/atom
data_La2MgZr
_cell_length_a 3.461
_cell_length_b 3.461
_cell_length_c 9.940
_cell_angle_alpha 90.00
_cell_angle_beta 90.00
_cell_angle_gamma 90.00
_symmetry_space_group_name_H-M 'P 1'
_symmetry_Int_Tables_number 1
loop_
_symmetry_equiv_pos_as_xyz
'x,y,z'
loop_
_atom_site_label
_atom_site_type_symbol
_atom_site_fract_x
_atom_site_fract_y
_atom_site_fract_z
La1 La 0.000 0.000 0.244
La2 La 0.000 0.000 0.756
Mg1 Mg 0.500 0.500 0.500
Zr1 Zr 0.500 0.500 0.000

(9)
# Ac2CoCl PBE optimized geometry
# * crystal system: trigonal
# * E_form (uncorrected): -854 meV/atom
# * SG: No. 166
data_Ac2CoCl
_cell_length_a 8.338
_cell_length_b 8.338
_cell_length_c 8.338
_cell_angle_alpha 29.15
_cell_angle_beta 29.15
_cell_angle_gamma 29.15
_symmetry_space_group_name_H-M 'P 1'
_symmetry_Int_Tables_number 1
loop_
_symmetry_equiv_pos_as_xyz
'x,y,z'
loop_
_atom_site_label
_atom_site_type_symbol
_atom_site_fract_x
_atom_site_fract_y
_atom_site_fract_z
Ac1 Ac 0.233 0.233 0.233
Ac2 Ac 0.767 0.767 0.767
Co1 Co 0.500 0.500 0.500
Cl1 Cl 0.000 0.000 0.000

(10)
# CdAg2PS4 PBE optimized geometry
# * crystal system: tetragonal
# * E_form (uncorrected): -139 meV/atom
# * SG: No. 82
data_CdAg2PS4
_cell_length_a 6.873
_cell_length_b 6.873
_cell_length_c 6.873
_cell_angle_alpha 129.88
_cell_angle_beta 129.88
_cell_angle_gamma 73.61
_symmetry_space_group_name_H-M 'P 1'
_symmetry_Int_Tables_number 1
loop_
_symmetry_equiv_pos_as_xyz
'x,y,z'
loop_
_atom_site_label
_atom_site_type_symbol
_atom_site_fract_x
_atom_site_fract_y
_atom_site_fract_z
Cd1 Cd 0.000 0.000 0.000
Ag1 Ag 0.250 0.750 0.500
Ag2 Ag 0.500 0.500 0.000
P1 P 0.750 0.250 0.500
S1 S 0.085 0.583 0.946
S2 S 0.417 0.363 0.502
S3 S 0.637 0.139 0.054
S4 S 0.861 0.915 0.498

(11)
# PuHf2Te PBE optimized geometry
# * crystal system: trigonal
# * E_form (uncorrected): 302 meV/atom
# * SG: No. 166
data_PuHf2Te
_cell_length_a 10.540
_cell_length_b 10.540
_cell_length_c 10.540
_cell_angle_alpha 18.40
_cell_angle_beta 18.40
_cell_angle_gamma 18.40
_symmetry_space_group_name_H-M 'P 1'
_symmetry_Int_Tables_number 1
loop_
_symmetry_equiv_pos_as_xyz
'x,y,z'
loop_
_atom_site_label
_atom_site_type_symbol
_atom_site_fract_x
_atom_site_fract_y
_atom_site_fract_z
Pu1 Pu 0.000 0.000 0.000
Hf1 Hf 0.096 0.096 0.096
Hf2 Hf 0.904 0.904 0.904
Te1 Te 0.500 0.500 0.500

(12)
# NaNiAs2Se PBE optimized geometry
# * crystal system: tetragonal
# * E_form (uncorrected): 1285 meV/atom
# * SG: No. 123
data_NaNiAs2Se
_cell_length_a 4.990
_cell_length_b 4.990
_cell_length_c 4.531
_cell_angle_alpha 90.00
_cell_angle_beta 90.00
_cell_angle_gamma 90.00
_symmetry_space_group_name_H-M 'P 1'
_symmetry_Int_Tables_number 1
loop_
_symmetry_equiv_pos_as_xyz
'x,y,z'
loop_
_atom_site_label
_atom_site_type_symbol
_atom_site_fract_x
_atom_site_fract_y
_atom_site_fract_z
Na1 Na 0.000 0.000 0.000
Ni1 Ni 0.000 0.000 0.500
As1 As 0.000 0.500 0.000
As2 As 0.500 0.000 0.000
Se1 Se 0.500 0.500 0.500

(13)
# TiINO2 PBE optimized geometry
# * crystal system: tetragonal
# * E_form (uncorrected): -504 meV/atom
# * SG: No. 123
data_TiINO2
_cell_length_a 3.726
_cell_length_b 3.726
_cell_length_c 6.148
_cell_angle_alpha 90.00
_cell_angle_beta 90.00
_cell_angle_gamma 90.00
_symmetry_space_group_name_H-M 'P 1'
_symmetry_Int_Tables_number 1
loop_
_symmetry_equiv_pos_as_xyz
'x,y,z'
loop_
_atom_site_label
_atom_site_type_symbol
_atom_site_fract_x
_atom_site_fract_y
_atom_site_fract_z
Ti1 Ti 0.000 0.000 0.000
I1 I 0.000 0.000 0.500
N1 N 0.500 0.500 0.500
O1 O 0.000 0.500 0.000
O2 O 0.500 0.000 0.000

(14)
# CaAg2B PBE optimized geometry
# * crystal system: tetragonal
# * SG: No. 122
# * energy of formation from the pure elements: 0.418 eV/atom
data_CaAg2B
_cell_length_a 7.891
_cell_length_b 7.891
_cell_length_c 7.891
_cell_angle_alpha 141.61
_cell_angle_beta 141.61
_cell_angle_gamma 55.41
_symmetry_space_group_name_H-M 'P 1'
_symmetry_Int_Tables_number 1
loop_
_symmetry_equiv_pos_as_xyz
'x,y,z'
loop_
_atom_site_label
_atom_site_type_symbol
_atom_site_fract_x
_atom_site_fract_y
_atom_site_fract_z
Ca1 Ca 0.000 0.000 0.000
Ca2 Ca 0.750 0.250 0.500
Ag1 Ag 0.373 0.625 0.248
Ag2 Ag 0.375 0.623 0.748
Ag3 Ag 0.377 0.125 0.752
Ag4 Ag 0.875 0.627 0.252
B1 B 0.250 0.750 0.500
B2 B 0.500 0.500 0.000

(15)
# Hf2Pd8Pt PBE optimized geometry
# * crystal system: monoclinic
# * SG: No. 12
# * energy of formation from the pure elements: -0.419 eV/atom
data_Hf2Pd8Pt
_cell_length_a 6.536
_cell_length_b 6.536
_cell_length_c 6.343
_cell_angle_alpha 108.27
_cell_angle_beta 108.27
_cell_angle_gamma 47.40
_symmetry_space_group_name_H-M 'P 1'
_symmetry_Int_Tables_number 1
loop_
_symmetry_equiv_pos_as_xyz
'x,y,z'
loop_
_atom_site_label
_atom_site_type_symbol
_atom_site_fract_x
_atom_site_fract_y
_atom_site_fract_z
Hf1 Hf 0.245 0.245 0.254
Hf2 Hf 0.755 0.755 0.746
Pd1 Pd 0.157 0.157 0.783
Pd2 Pd 0.175 0.659 0.611
Pd3 Pd 0.341 0.825 0.389
Pd4 Pd 0.392 0.392 0.024
Pd5 Pd 0.608 0.608 0.976
Pd6 Pd 0.659 0.175 0.611
Pd7 Pd 0.825 0.341 0.389
Pd8 Pd 0.843 0.843 0.217
Pt1 Pt 0.000 0.000 0.000

(16)
# CsV3In PBE optimized geometry
# * crystal system: cubic
# * SG: No. 221
# * energy of formation from the pure elements: 2.339 eV/atom
data_CsV3In
_cell_length_a 4.770
_cell_length_b 4.770
_cell_length_c 4.770
_cell_angle_alpha 90.00
_cell_angle_beta 90.00
_cell_angle_gamma 90.00
_symmetry_space_group_name_H-M 'P 1'
_symmetry_Int_Tables_number 1
loop_
_symmetry_equiv_pos_as_xyz
'x,y,z'
loop_
_atom_site_label
_atom_site_type_symbol
_atom_site_fract_x
_atom_site_fract_y
_atom_site_fract_z
Cs1 Cs 0.000 0.000 0.000
V1 V 0.000 0.000 0.500
V2 V 0.000 0.500 0.000
V3 V 0.500 0.000 0.000
In1 In 0.500 0.500 0.500

(17)
# ErZr2Ru3 PBE optimized geometry
# * crystal system: tetragonal
# * SG: No. 123
# * energy of formation from the pure elements: -0.606 eV/atom
data_ErZr2Ru3
_cell_length_a 3.301
_cell_length_b 3.301
_cell_length_c 9.972
_cell_angle_alpha 90.00
_cell_angle_beta 90.00
_cell_angle_gamma 90.00
_symmetry_space_group_name_H-M 'P 1'
_symmetry_Int_Tables_number 1
loop_
_symmetry_equiv_pos_as_xyz
'x,y,z'
loop_
_atom_site_label
_atom_site_type_symbol
_atom_site_fract_x
_atom_site_fract_y
_atom_site_fract_z
Er1 Er 0.000 0.000 0.000
Zr1 Zr 0.000 0.000 0.334
Zr2 Zr 0.000 0.000 0.666
Ru1 Ru 0.500 0.500 0.179
Ru2 Ru 0.500 0.500 0.500
Ru3 Ru 0.500 0.500 0.821

(18)
# ScCuS2 PBE optimized geometry
# * crystal system: monoclinic
# * E_form (uncorrected): -1285 meV/atom
# * SG: No. 10
data_ScCuS2
_cell_length_a 6.073
_cell_length_b 3.746
_cell_length_c 6.462
_cell_angle_alpha 90.00
_cell_angle_beta 90.06
_cell_angle_gamma 90.00
_symmetry_space_group_name_H-M 'P 1'
_symmetry_Int_Tables_number 1
loop_
_symmetry_equiv_pos_as_xyz
'x,y,z'
loop_
_atom_site_label
_atom_site_type_symbol
_atom_site_fract_x
_atom_site_fract_y
_atom_site_fract_z
Sc1 Sc 0.000 0.000 0.000
Sc2 Sc 0.000 0.500 0.500
Cu1 Cu 0.381 0.000 0.325
Cu2 Cu 0.619 0.000 0.675
S1 S 0.238 0.000 0.668
S2 S 0.241 0.500 0.164
S3 S 0.759 0.500 0.836
S4 S 0.762 0.000 0.332

(19)
# BaAcSe2 PBE optimized geometry
# * crystal system: trigonal
# * E_form (uncorrected): -1955 meV/atom
# * SG: No. 166
data_BaAcSe2
_cell_length_a 8.006
_cell_length_b 8.006
_cell_length_c 8.006
_cell_angle_alpha 33.04
_cell_angle_beta 33.04
_cell_angle_gamma 33.04
_symmetry_space_group_name_H-M 'P 1'
_symmetry_Int_Tables_number 1
loop_
_symmetry_equiv_pos_as_xyz
'x,y,z'
loop_
_atom_site_label
_atom_site_type_symbol
_atom_site_fract_x
_atom_site_fract_y
_atom_site_fract_z
Ba1 Ba 0.000 0.000 0.000
Ac1 Ac 0.500 0.500 0.500
Se1 Se 0.245 0.245 0.245
Se2 Se 0.755 0.755 0.755

(20)
# Pm4ThZn5 PBE optimized geometry
# * crystal system: tetragonal
# * SG: No. 123
# * energy of formation from the pure elements: -0.286 eV/atom
data_Pm4ThZn5
_cell_length_a 3.661
_cell_length_b 3.661
_cell_length_c 18.310
_cell_angle_alpha 90.00
_cell_angle_beta 90.00
_cell_angle_gamma 90.00
_symmetry_space_group_name_H-M 'P 1'
_symmetry_Int_Tables_number 1
loop_
_symmetry_equiv_pos_as_xyz
'x,y,z'
loop_
_atom_site_label
_atom_site_type_symbol
_atom_site_fract_x
_atom_site_fract_y
_atom_site_fract_z
Pm1 Pm 0.000 0.000 0.100
Pm2 Pm 0.000 0.000 0.300
Pm3 Pm 0.000 0.000 0.700
Pm4 Pm 0.000 0.000 0.900
Th1 Th 0.000 0.000 0.500
Zn1 Zn 0.500 0.500 0.000
Zn2 Zn 0.500 0.500 0.200
Zn3 Zn 0.500 0.500 0.399
Zn4 Zn 0.500 0.500 0.601
Zn5 Zn 0.500 0.500 0.800